[1]
First-principles (PBE) data for ZrPI after structural relaxation, as listed in the Alexandria database.

Properties
- Space-group type: No. 1
- Fermi-level density of states: 2.605 states/eV/cell
- Raw formation energy: -863.4 meV per atom
- Uncorrected energy: -36.2 eV for the cell shown

Cell: 3.7653 4.8315 11.0997 Å, 83.69 83.42 67.12°
Sites, in units of the cell vectors:
1 Zr 0.0000 0.0000 0.0000
2 Zr 0.3153 0.5064 0.7959
3 P 0.5986 0.9242 0.8198
4 P 0.7124 0.5839 0.9862
5 I 0.9232 0.9919 0.2487
6 I 0.9357 0.4021 0.5940

[2]
First-principles (PBE) data for TaFe2Hg after structural relaxation, as listed in the Alexandria database.

Properties
- Space-group type: No. 99
- Fermi-level density of states: 3.175 states/eV/cell
- Uncorrected energy: -28.2 eV for the cell shown
- ΔH_f (0 K): 20.1 kJ per mole of atoms

Cell: 2.9970 2.9970 6.8839 Å, 90.00 90.00 90.00°
Sites, in units of the cell vectors:
1 Ta 0.0000 0.0000 0.0000
2 Fe 0.0000 0.0000 0.4138
3 Fe 0.5000 0.5000 0.2310
4 Hg 0.5000 0.5000 0.6788

[3]
First-principles (PBE) data for SrBeWBr2 after structural relaxation, as listed in the Alexandria database.

Properties
- Space-group type: No. 123
- Fermi-level density of states: 3.008 states/eV/cell
- Raw formation energy: 1035.0 meV per atom
- Uncorrected energy: -16.5 eV for the cell shown

Cell: 4.7117 4.7117 7.1012 Å, 90.00 90.00 90.00°
Sites, in units of the cell vectors:
1 Sr 0.0000 0.0000 0.0000
2 Be 0.0000 0.0000 0.5000
3 W 0.5000 0.5000 0.0000
4 Br 0.0000 0.5000 0.5000
5 Br 0.5000 0.0000 0.5000

[4]
First-principles (PBE) data for Be2ZnGa after structural relaxation, as listed in the Alexandria database.

Properties
- Space-group type: No. 122
- Fermi-level density of states: 5.197 states/eV/cell
- Uncorrected energy: -37.6 eV for the cell shown
- ΔH_f (0 K): 57.0 kJ per mole of atoms

Cell: 6.7679 6.7679 4.8615 Å, 90.00 90.00 90.00°
Sites, in units of the cell vectors:
1 Be 0.2471 0.2500 0.1250
2 Be 0.2500 0.7471 0.3750
3 Be 0.2500 0.7529 0.8750
4 Be 0.2529 0.2500 0.6250
5 Be 0.7471 0.7500 0.6250
6 Be 0.7500 0.2471 0.8750
7 Be 0.7500 0.2529 0.3750
8 Be 0.7529 0.7500 0.1250
9 Zn 0.0000 0.0000 0.0000
10 Zn 0.0000 0.5000 0.2500
11 Zn 0.5000 0.0000 0.7500
12 Zn 0.5000 0.5000 0.5000
13 Ga 0.0000 0.0000 0.5000
14 Ga 0.0000 0.5000 0.7500
15 Ga 0.5000 0.0000 0.2500
16 Ga 0.5000 0.5000 0.0000

[5]
First-principles (PBE) data for BaW2Au after structural relaxation, as listed in the Alexandria database.

Properties
- Space-group type: No. 141
- Fermi-level density of states: 17.242 states/eV/cell
- Uncorrected energy: -106.0 eV for the cell shown
- ΔH_f (0 K): 111.3 kJ per mole of atoms

Cell: 4.8701 4.8701 19.5713 Å, 90.00 90.00 90.00°
Sites, in units of the cell vectors:
1 Ba 0.0000 0.2500 0.3750
2 Ba 0.0000 0.7500 0.6250
3 Ba 0.5000 0.2500 0.1250
4 Ba 0.5000 0.7500 0.8750
5 W 0.0000 0.0000 0.0000
6 W 0.0000 0.5000 0.0000
7 W 0.2500 0.2500 0.7500
8 W 0.2500 0.7500 0.2500
9 W 0.5000 0.0000 0.5000
10 W 0.5000 0.5000 0.5000
11 W 0.7500 0.2500 0.7500
12 W 0.7500 0.7500 0.2500
13 Au 0.0000 0.2500 0.8750
14 Au 0.0000 0.7500 0.1250
15 Au 0.5000 0.2500 0.6250
16 Au 0.5000 0.7500 0.3750

[6]
First-principles (PBE) data for PuTlBr3 after structural relaxation, as listed in the Alexandria database.

Properties
- Space-group type: No. 11
- Fermi-level density of states: 24.531 states/eV/cell
- Raw formation energy: -1186.5 meV per atom
- Uncorrected energy: -55.3 eV for the cell shown

Cell: 9.1583 4.3288 9.3045 Å, 90.00 98.95 90.00°
Sites, in units of the cell vectors:
1 Pu 0.1489 0.2500 0.1399
2 Pu 0.8511 0.7500 0.8601
3 Tl 0.3871 0.7500 0.7010
4 Tl 0.6129 0.2500 0.2990
5 Br 0.0653 0.2500 0.8133
6 Br 0.2971 0.2500 0.4433
7 Br 0.3571 0.7500 0.0892
8 Br 0.6429 0.2500 0.9108
9 Br 0.7029 0.7500 0.5567
10 Br 0.9347 0.7500 0.1867

[7]
First-principles (PBE) data for TmHfSc14 after structural relaxation, as listed in the Alexandria database.

Properties
- Space-group type: No. 38
- Fermi-level density of states: 31.287 states/eV/cell
- Uncorrected energy: -102.9 eV for the cell shown
- ΔH_f (0 K): 1.0 kJ per mole of atoms

Cell: 10.2980 6.6434 6.6434 Å, 60.04 90.00 90.00°
Sites, in units of the cell vectors:
1 Tm 0.0000 0.0000 0.0000
2 Hf 0.0000 0.5014 0.5014
3 Sc 0.0000 0.4989 0.9988
4 Sc 0.0000 0.9988 0.4989
5 Sc 0.2450 0.3346 0.3346
6 Sc 0.2493 0.3362 0.8290
7 Sc 0.2493 0.8290 0.3362
8 Sc 0.2552 0.8318 0.8318
9 Sc 0.5000 0.9995 0.9995
10 Sc 0.5000 0.9999 0.4995
11 Sc 0.5000 0.4995 0.9999
12 Sc 0.5000 0.4996 0.4996
13 Sc 0.7448 0.8318 0.8318
14 Sc 0.7507 0.3362 0.8290
15 Sc 0.7507 0.8290 0.3362
16 Sc 0.7550 0.3346 0.3346

[8]
First-principles (PBE) data for Ce4BiTe3 after structural relaxation, as listed in the Alexandria database.

Properties
- Space-group type: No. 221
- Fermi-level density of states: 29.184 states/eV/cell
- Raw formation energy: -1227.3 meV per atom
- Uncorrected energy: -46.9 eV for the cell shown

Cell: 6.3934 6.3934 6.3934 Å, 90.00 90.00 90.00°
Sites, in units of the cell vectors:
1 Ce 0.0000 0.0000 0.0000
2 Ce 0.0000 0.5000 0.5000
3 Ce 0.5000 0.0000 0.5000
4 Ce 0.5000 0.5000 0.0000
5 Bi 0.5000 0.5000 0.5000
6 Te 0.0000 0.0000 0.5000
7 Te 0.0000 0.5000 0.0000
8 Te 0.5000 0.0000 0.0000

[9]
First-principles (PBE) data for HoAg2BO4 after structural relaxation, as listed in the Alexandria database.

Properties
- Space-group type: No. 121
- Raw formation energy: -1639.0 meV per atom
- Uncorrected energy: -99.8 eV for the cell shown

Cell: 5.9611 5.9611 5.5100 Å, 90.00 90.00 90.00°
Sites, in units of the cell vectors:
1 Ho 0.0000 0.0000 0.0000
2 Ho 0.5000 0.5000 0.5000
3 Ag 0.0000 0.5000 0.0000
4 Ag 0.0000 0.5000 0.5000
5 Ag 0.5000 0.0000 0.0000
6 Ag 0.5000 0.0000 0.5000
7 B 0.0000 0.0000 0.5000
8 B 0.5000 0.5000 0.0000
9 O 0.1455 0.1455 0.3395
10 O 0.1455 0.8545 0.6605
11 O 0.3545 0.3545 0.8395
12 O 0.3545 0.6455 0.1605
13 O 0.6455 0.3545 0.1605
14 O 0.6455 0.6455 0.8395
15 O 0.8545 0.1455 0.6605
16 O 0.8545 0.8545 0.3395

[10]
First-principles (PBE) data for FeCoCBr after structural relaxation, as listed in the Alexandria database.

Properties
- Space-group type: No. 160
- Fermi-level density of states: 12.793 states/eV/cell
- Raw formation energy: 313.1 meV per atom
- Uncorrected energy: -75.6 eV for the cell shown

Cell: 3.1590 3.1590 18.2543 Å, 90.00 90.00 120.00°
Sites, in units of the cell vectors:
1 Fe 0.0000 0.0000 0.0000
2 Fe 0.3333 0.6667 0.6667
3 Fe 0.6667 0.3333 0.3333
4 Co 0.0000 0.0000 0.4262
5 Co 0.3333 0.6667 0.0929
6 Co 0.6667 0.3333 0.7596
7 C 0.0000 0.0000 0.7225
8 C 0.3333 0.6667 0.3891
9 C 0.6667 0.3333 0.0558
10 Br 0.0000 0.0000 0.5575
11 Br 0.3333 0.6667 0.2242
12 Br 0.6667 0.3333 0.8909

[11]
First-principles (PBE) data for Pu2Pd2Au15 after structural relaxation, as listed in the Alexandria database.

Properties
- Space-group type: No. 166
- Fermi-level density of states: 42.121 states/eV/cell
- Uncorrected energy: -91.1 eV for the cell shown
- ΔH_f (0 K): -14.9 kJ per mole of atoms

Cell: 7.2868 7.2868 7.2868 Å, 82.33 82.33 82.33°
Sites, in units of the cell vectors:
1 Pu 0.1807 0.1807 0.1807
2 Pu 0.8193 0.8193 0.8193
3 Pd 0.3981 0.3981 0.3981
4 Pd 0.6019 0.6019 0.6019
5 Au 0.0000 0.5000 0.5000
6 Au 0.1435 0.1435 0.6553
7 Au 0.1435 0.6553 0.1435
8 Au 0.1997 0.5000 0.8003
9 Au 0.1997 0.8003 0.5000
10 Au 0.3447 0.8565 0.8565
11 Au 0.5000 0.0000 0.5000
12 Au 0.5000 0.1997 0.8003
13 Au 0.5000 0.5000 0.0000
14 Au 0.5000 0.8003 0.1997
15 Au 0.6553 0.1435 0.1435
16 Au 0.8003 0.1997 0.5000
17 Au 0.8003 0.5000 0.1997
18 Au 0.8565 0.3447 0.8565
19 Au 0.8565 0.8565 0.3447

[12]
First-principles (PBE) data for TlSi2As after structural relaxation, as listed in the Alexandria database.

Properties
- Space-group type: No. 12
- Fermi-level density of states: 2.965 states/eV/cell
- Raw formation energy: 647.2 meV per atom
- Uncorrected energy: -30.5 eV for the cell shown

Cell: 6.1658 10.2194 2.9430 Å, 90.00 118.45 90.00°
Sites, in units of the cell vectors:
1 Tl 0.0000 0.0000 0.0000
2 Tl 0.5000 0.5000 0.0000
3 Si 0.2500 0.2500 0.5000
4 Si 0.2500 0.7500 0.5000
5 Si 0.7500 0.2500 0.5000
6 Si 0.7500 0.7500 0.5000
7 As 0.0000 0.5000 0.0000
8 As 0.5000 0.0000 0.0000